Record 1
Below is an optimized crystal structure of Ac4SiOsCl2, with properties calculated at the PBE level.

CIF file:
```
data_Ac4SiOsCl2
_chemical_formula_sum 'Ac4 Si1 Os1 Cl2'
_cell_length_a 7.8270
_cell_length_b 4.4026
_cell_length_c 8.0363
_cell_angle_alpha 90.00
_cell_angle_beta 107.05
_cell_angle_gamma 90.00
_space_group_name_H-M_alt 'P 1 2/m 1'
_space_group_IT_number 10
_space_group_name_Hall '-P 2y'
loop_
_atom_site_label
_atom_site_type_symbol
_atom_site_fract_x
_atom_site_fract_y
_atom_site_fract_z
Ac1 Ac 0.2226 0.0000 0.2098
Ac2 Ac 0.2450 0.5000 0.7925
Si1 Si 0.5000 0.0000 0.0000
Os1 Os 0.0000 0.5000 0.0000
Cl1 Cl 0.0000 0.0000 0.5000
Cl2 Cl 0.5000 0.5000 0.5000
```

Properties
**E_form (uncorrected)**: -978 meV per atom
**Fermi-level density of states**: 0.580 states/eV per atom
**Calculated density**: 7509 kg/m3

Record 2
Below is an optimized crystal structure of Nd5Ho3Th2, with properties calculated at the PBE level.

CIF file:
```
data_Nd5Ho3Th2
_chemical_formula_sum 'Nd20 Ho12 Th8'
_cell_length_a 10.9995
_cell_length_b 15.0366
_cell_length_c 9.8998
_cell_angle_alpha 90.00
_cell_angle_beta 123.60
_cell_angle_gamma 90.00
_space_group_name_H-M_alt 'C 1 2/c 1'
_space_group_IT_number 15
_space_group_name_Hall '-C 2yc'
loop_
_atom_site_label
_atom_site_type_symbol
_atom_site_fract_x
_atom_site_fract_y
_atom_site_fract_z
Nd1 Nd 0.0000 0.0268 0.2500
Nd2 Nd 0.0000 0.2321 0.2500
Nd3 Nd 0.0000 0.2728 0.7500
Nd4 Nd 0.2444 0.1213 0.7409
Ho1 Ho 0.0000 0.4796 0.7500
Ho2 Ho 0.1571 0.1235 0.0535
Th1 Th 0.1487 0.3771 0.5547
```

Properties
**Fermi-level density of states**: 1.632 states/eV per atom
**Energy relative to the elements**: 0.22 eV/atom
**Calculated density**: 8183 kg/m3

Record 3
Below is an optimized crystal structure of Hf3TcOs, with properties calculated at the PBE level.

CIF file:
```
data_Hf3TcOs
_chemical_formula_sum 'Hf3 Tc1 Os1'
_cell_length_a 4.9375
_cell_length_b 4.9375
_cell_length_c 4.9375
_cell_angle_alpha 90.00
_cell_angle_beta 90.00
_cell_angle_gamma 90.00
_space_group_name_H-M_alt 'P m -3 m'
_space_group_IT_number 221
_space_group_name_Hall '-P 4 2 3'
loop_
_atom_site_label
_atom_site_type_symbol
_atom_site_fract_x
_atom_site_fract_y
_atom_site_fract_z
Hf1 Hf 0.0000 0.0000 0.5000
Tc1 Tc 0.5000 0.5000 0.5000
Os1 Os 0.0000 0.0000 0.0000
```

Properties
**Fermi-level density of states**: 1.418 states/eV per atom
**Energy relative to the elements**: 0.83 eV/atom
**Calculated density**: 11363 kg/m3

Record 4
Below is an optimized crystal structure of PtIBr3, with properties calculated at the PBE level.

CIF file:
```
data_PtIBr3
_chemical_formula_sum 'Pt2 I2 Br6'
_cell_length_a 4.8936
_cell_length_b 8.0024
_cell_length_c 11.2956
_cell_angle_alpha 86.42
_cell_angle_beta 81.41
_cell_angle_gamma 81.04
_space_group_name_H-M_alt 'P -1'
_space_group_IT_number 2
_space_group_name_Hall '-P 1'
loop_
_atom_site_label
_atom_site_type_symbol
_atom_site_fract_x
_atom_site_fract_y
_atom_site_fract_z
Pt1 Pt 0.0826 0.0090 0.1512
I1 I 0.1317 0.5716 0.3930
Br1 Br 0.0672 0.7937 0.6906
Br2 Br 0.2106 0.8154 0.9817
Br3 Br 0.4059 0.8390 0.2682
```

Properties
**E_form (uncorrected)**: -95 meV per atom
**Fermi-level density of states**: 0.725 states/eV per atom
**Calculated density**: 4321 kg/m3

Record 5
Below is an optimized crystal structure of CsAl2GaCl8, with properties calculated at the PBE level.

CIF file:
```
data_CsAl2GaCl8
_chemical_formula_sum 'Cs3 Al6 Ga3 Cl24'
_cell_length_a 6.7737
_cell_length_b 6.7737
_cell_length_c 29.8305
_cell_angle_alpha 90.00
_cell_angle_beta 90.00
_cell_angle_gamma 120.00
_space_group_name_H-M_alt 'R -3'
_space_group_IT_number 148
_space_group_name_Hall '-R 3'
loop_
_atom_site_label
_atom_site_type_symbol
_atom_site_fract_x
_atom_site_fract_y
_atom_site_fract_z
Cs1 Cs 0.0000 0.0000 0.0000
Al1 Al 0.0000 0.0000 0.2513
Ga1 Ga 0.0000 0.0000 0.5000
Cl1 Cl 0.0000 0.0000 0.3236
Cl2 Cl 0.0179 0.6395 0.4384
```

Properties
**E_form (uncorrected)**: -1554 meV per atom
**Fermi-level density of states**: 0.000 states/eV per atom
**Calculated density**: 2270 kg/m3

Record 6
Below is an optimized crystal structure of SrTiGa2Cl, with properties calculated at the PBE level.

CIF file:
```
data_SrTiGa2Cl
_chemical_formula_sum 'Sr1 Ti1 Ga2 Cl1'
_cell_length_a 5.1866
_cell_length_b 5.1866
_cell_length_c 5.2357
_cell_angle_alpha 90.00
_cell_angle_beta 90.00
_cell_angle_gamma 90.00
_space_group_name_H-M_alt 'P 4/m m m'
_space_group_IT_number 123
_space_group_name_Hall '-P 4 2'
loop_
_atom_site_label
_atom_site_type_symbol
_atom_site_fract_x
_atom_site_fract_y
_atom_site_fract_z
Sr1 Sr 0.0000 0.0000 0.0000
Ti1 Ti 0.5000 0.5000 0.0000
Ga1 Ga 0.0000 0.5000 0.5000
Cl1 Cl 0.0000 0.0000 0.5000
```

Properties
**E_form (uncorrected)**: 333 meV per atom
**Fermi-level density of states**: 1.620 states/eV per atom
**Calculated density**: 3659 kg/m3

Record 7
Below is an optimized crystal structure of Tb3Ce2ErSb6, with properties calculated at the PBE level.

CIF file:
```
data_Tb3Ce2ErSb6
_chemical_formula_sum 'Tb6 Ce4 Er2 Sb12'
_cell_length_a 19.2787
_cell_length_b 4.4274
_cell_length_c 8.8541
_cell_angle_alpha 90.00
_cell_angle_beta 103.35
_cell_angle_gamma 90.00
_space_group_name_H-M_alt 'C 1 2/m 1'
_space_group_IT_number 12
_space_group_name_Hall '-C 2y'
loop_
_atom_site_label
_atom_site_type_symbol
_atom_site_fract_x
_atom_site_fract_y
_atom_site_fract_z
Tb1 Tb 0.0000 0.0000 0.0000
Tb2 Tb 0.1673 0.5000 0.3343
Ce1 Ce 0.1655 0.5000 0.8316
Er1 Er 0.0000 0.0000 0.5000
Sb1 Sb 0.0017 0.5000 0.2531
Sb2 Sb 0.1654 0.0000 0.5792
Sb3 Sb 0.1659 0.0000 0.0860
```

Properties
**E_form (uncorrected)**: -1103 meV per atom
**Fermi-level density of states**: 1.189 states/eV per atom
**Calculated density**: 7474 kg/m3

Record 8
Below is an optimized crystal structure of DyErSc3, with properties calculated at the PBE level.

CIF file:
```
data_DyErSc3
_chemical_formula_sum 'Dy2 Er2 Sc6'
_cell_length_a 5.9331
_cell_length_b 5.3260
_cell_length_c 9.0874
_cell_angle_alpha 90.00
_cell_angle_beta 109.05
_cell_angle_gamma 90.00
_space_group_name_H-M_alt 'P 1 21/m 1'
_space_group_IT_number 11
_space_group_name_Hall '-P 2yb'
loop_
_atom_site_label
_atom_site_type_symbol
_atom_site_fract_x
_atom_site_fract_y
_atom_site_fract_z
Dy1 Dy 0.0650 0.2500 0.3032
Er1 Er 0.4635 0.2500 0.1014
Sc1 Sc 0.1303 0.7500 0.1016
Sc2 Sc 0.2718 0.2500 0.6967
Sc3 Sc 0.3372 0.7500 0.4981
```

Properties
**Fermi-level density of states**: 1.847 states/eV per atom
**Energy relative to the elements**: 0.02 eV/atom
**Calculated density**: 5685 kg/m3

Record 9
Below is an optimized crystal structure of TaSb2PbI, with properties calculated at the PBE level.

CIF file:
```
data_TaSb2PbI
_chemical_formula_sum 'Ta1 Sb2 Pb1 I1'
_cell_length_a 5.4734
_cell_length_b 5.4734
_cell_length_c 5.7485
_cell_angle_alpha 90.00
_cell_angle_beta 90.00
_cell_angle_gamma 90.00
_space_group_name_H-M_alt 'P 4/m m m'
_space_group_IT_number 123
_space_group_name_Hall '-P 4 2'
loop_
_atom_site_label
_atom_site_type_symbol
_atom_site_fract_x
_atom_site_fract_y
_atom_site_fract_z
Ta1 Ta 0.0000 0.0000 0.0000
Sb1 Sb 0.0000 0.5000 0.0000
Pb1 Pb 0.5000 0.5000 0.5000
I1 I 0.0000 0.0000 0.5000
```

Properties
**E_form (uncorrected)**: 424 meV per atom
**Fermi-level density of states**: 0.691 states/eV per atom
**Calculated density**: 7314 kg/m3

Record 10
Below is an optimized crystal structure of MgAl2TePd, with properties calculated at the PBE level.

CIF file:
```
data_MgAl2TePd
_chemical_formula_sum 'Mg1 Al2 Te1 Pd1'
_cell_length_a 5.3949
_cell_length_b 5.3949
_cell_length_c 5.0008
_cell_angle_alpha 90.00
_cell_angle_beta 90.00
_cell_angle_gamma 90.00
_space_group_name_H-M_alt 'P 4/m m m'
_space_group_IT_number 123
_space_group_name_Hall '-P 4 2'
loop_
_atom_site_label
_atom_site_type_symbol
_atom_site_fract_x
_atom_site_fract_y
_atom_site_fract_z
Mg1 Mg 0.0000 0.0000 0.0000
Al1 Al 0.0000 0.5000 0.5000
Te1 Te 0.5000 0.5000 0.5000
Pd1 Pd 0.5000 0.5000 0.0000
```

Properties
**E_form (uncorrected)**: 607 meV per atom
**Fermi-level density of states**: 0.509 states/eV per atom
**Calculated density**: 3563 kg/m3

Record 11
Below is an optimized crystal structure of AlNi2S4, with properties calculated at the PBE level.

CIF file:
```
data_AlNi2S4
_chemical_formula_sum 'Al4 Ni8 S16'
_cell_length_a 6.8489
_cell_length_b 6.9861
_cell_length_c 9.4597
_cell_angle_alpha 90.00
_cell_angle_beta 90.00
_cell_angle_gamma 90.00
_space_group_name_H-M_alt 'I m m a'
_space_group_IT_number 74
_space_group_name_Hall '-I 2b 2'
loop_
_atom_site_label
_atom_site_type_symbol
_atom_site_fract_x
_atom_site_fract_y
_atom_site_fract_z
Al1 Al 0.0000 0.0000 0.0000
Ni1 Ni 0.0000 0.0000 0.5000
Ni2 Ni 0.2500 0.2500 0.2500
S1 S 0.0000 0.0318 0.2558
S2 S 0.2471 0.2500 0.0067
```

Properties
**E_form (uncorrected)**: -422 meV per atom
**Fermi-level density of states**: 0.604 states/eV per atom
**Calculated density**: 4001 kg/m3

Record 12
Below is an optimized crystal structure of Y9HoTm2, with properties calculated at the PBE level.

CIF file:
```
data_Y9HoTm2
_chemical_formula_sum 'Y9 Ho1 Tm2'
_cell_length_a 5.0279
_cell_length_b 5.0279
_cell_length_c 15.0773
_cell_angle_alpha 90.00
_cell_angle_beta 90.00
_cell_angle_gamma 90.00
_space_group_name_H-M_alt 'P 4/m m m'
_space_group_IT_number 123
_space_group_name_Hall '-P 4 2'
loop_
_atom_site_label
_atom_site_type_symbol
_atom_site_fract_x
_atom_site_fract_y
_atom_site_fract_z
Y1 Y 0.0000 0.0000 0.0000
Y2 Y 0.0000 0.0000 0.3338
Y3 Y 0.0000 0.5000 0.1673
Y4 Y 0.0000 0.5000 0.5000
Ho1 Ho 0.5000 0.5000 0.0000
Tm1 Tm 0.5000 0.5000 0.3336
```

Properties
**Fermi-level density of states**: 1.486 states/eV per atom
**Energy relative to the elements**: 0.03 eV/atom
**Calculated density**: 5677 kg/m3

> The lowest calculated density belongs to which entry?

CsAl2GaCl8

> The lowest Fermi-level density of states belongs to which entry?

CsAl2GaCl8

> Among the records above, which one has the lowest calculated density?

CsAl2GaCl8

> Look up the Fermi-level density of states of the third one.

1.418 states/eV per atom